Entry 1:
DFT (PBE) results for ZrMo2P after structural relaxation.

Cell: 4.8575 4.8575 5.1858 Å, 60.82 60.82 40.52°
Fractional positions:
Zr1 0.2154 0.2154 0.2304
Mo1 0.0086 0.0086 0.9714
Mo2 0.7835 0.7835 0.6554
P1 0.4925 0.4925 0.6428

Results
The calculation puts the magnetization at 0.000 μB per formula unit. Its formation energy is -0.2856 eV per atom. As for the crystal system: monoclinic.


Entry 2:
DFT (PBE) results for Li4MgW after structural relaxation.

Cell: 5.1648 5.1648 5.1648 Å, 60.00 60.00 60.00°
Each line ends with the local moment (μB).
Fractional positions:
Li1 0.8799 0.3734 0.3734  -0.02
Li2 0.3734 0.3734 0.8799  -0.02
Li3 0.3734 0.8799 0.3734  -0.02
Li4 0.3734 0.3734 0.3734  -0.02
Mg1 0.7500 0.7500 0.7500  -0.03
W1 0.0000 0.0000 0.0000  1.90

Results
The calculation puts the magnetization at 2.248 μB per formula unit. Its formation energy is 0.5734 eV per atom. As for the crystal system: cubic.


> Among the records above, which one has the highest magnetization?

Li4MgW